Density functional theory data (PBE-GGA) for a relaxed structure of RbTi2Mn.

a b c (Å): 4.7068 4.7068 4.7068
angles (deg): 60.00 60.00 60.00
Element x y z (fractional)
1 Ti 0.7500 0.7500 0.7500
2 Ti 0.2500 0.2500 0.2500
3 Mn 0.0000 0.0000 0.0000
4 Rb 0.5000 0.5000 0.5000

## Properties
The value obtained for the formation energy is 1.420 eV per atom. For the energy above the most stable polymorph in this dataset, the calculation gives 35.1 kJ/mol of atoms. The value obtained for the mass density is 5.3 g/cm3. The calculation puts the total magnetization at 0.00 Bohr magnetons per cell. As for the density of states at the Fermi level: 6.9 states/eV/cell.